Computed, not measured: an optimized crystal structure of Ti2GaHg at the GGA-PBE level of DFT.

Cell lengths 4.0932, 4.1048, 4.1048 Å; angles 90.00, 90.00, 90.00 degrees
Element x y z (fractional)
1 Ga 0.5000 0.0000 0.0000
2 Hg 0.5000 0.5000 0.5000
3 Ti 0.0000 0.0000 0.5000
4 Ti 0.0000 0.5000 0.0000

## Properties
M_tot ... 0.00 μB/atom
Symmetry ... P4/mmm (123)
Electronic total energy ... -19.96 eV per cell